No. 1
Density functional theory data (PBE) for a relaxed structure of La4Ga16Ru3.

For the raw total energy, the calculation gives -108.42 eV per formula unit. As for the total magnetic moment: 0.000 μB per atom.

It has space group P4/mmm (No. 123), with a = 6.275 Å, b = 6.275 Å, c = 11.596 Å, α = 90.00°, β = 90.00° and γ = 90.00°. Symmetry generates all atoms from La at (0.000, 0.500, 0.193), Ga at (0.000, 0.000, 0.203), Ga at (0.214, 0.214, 0.000), Ga at (0.253, 0.253, 0.386), Ga at (0.500, 0.500, 0.221), Ru at (0.000, 0.500, 0.500) and Ru at (0.500, 0.500, 0.000).


No. 2
Density functional theory data (PBE) for a relaxed structure of Mg2Te3O8.

For the raw total energy, the calculation gives -73.44 eV per formula unit. As for the total magnetic moment: 0.000 μB per atom. The value obtained for the formation energy from raw total energies is -1627 meV per atom.

It has space group C2/c (No. 15), with a = 12.803 Å, b = 5.319 Å, c = 11.753 Å, α = 90.00°, β = 98.47° and γ = 90.00°. Symmetry generates all atoms from Mg at (0.232, 0.190, 0.352), Te at (0.000, 0.154, 0.750), Te at (0.137, 0.186, 0.057), O at (0.080, 0.068, 0.354), O at (0.115, 0.134, 0.637), O at (0.200, 0.354, 0.192) and O at (0.236, 0.493, 0.973).


No. 3
Density functional theory data (PBE) for a relaxed structure of Ba5La3Te8.

For the raw total energy, the calculation gives -76.45 eV per formula unit. As for the total magnetic moment: 0.000 μB per atom. The value obtained for the formation energy from raw total energies is -1683 meV per atom.

It has space group R-3m (No. 166, hexagonal axes), with a = 9.6037 Å, b = 9.6037 Å, c = 23.8493 Å, α = 90.00°, β = 90.00° and γ = 120.00°. Symmetry generates all atoms from Ba at (0.0000, 0.0000, 0.0000), Ba at (0.0000, 0.0000, 0.5000), Ba at (0.0000, 0.5000, 0.0000), La at (0.0000, 0.5000, 0.5000), Te at (0.0000, 0.0000, 0.2425) and Te at (0.0113, 0.5057, 0.7556).


No. 4
Density functional theory data (PBE) for a relaxed structure of ZnGeAu6.

For the raw total energy, the calculation gives -25.52 eV per formula unit. As for the total magnetic moment: 0.000 μB per atom. For the offset from the most stable computed form, the calculation gives 0.0193 eV/atom.

It has space group P4/mmm (No. 123), with a = 4.061 Å, b = 4.061 Å, c = 8.662 Å, α = 90.00°, β = 90.00° and γ = 90.00°. Symmetry generates all atoms from Zn at (0.000, 0.000, 0.000), Ge at (0.000, 0.000, 0.500), Au at (0.000, 0.500, 0.242), Au at (0.500, 0.500, 0.000) and Au at (0.500, 0.500, 0.500).


Which formula does entry 1 have? La4Ga16Ru3